Entry 1:
This record from the Alexandria database describes CrAuBr2 after structural relaxation. The functional is PBE.

Cell lengths 3.2093, 3.2093, 10.1598 Å; angles 90.00, 90.00, 90.00 degrees
Last column: nearest neighbours and their distance in Å.
Fractional positions:
Au: 0.5000 0.5000 0.7500  4 Au 3.21
Br: 0.0000 0.0000 0.0888  4 Cr 2.80
Br: 0.0000 0.0000 0.4112  4 Cr 2.80
Cr: 0.5000 0.5000 0.2500  8 Br 2.80

energy above the lowest structure with this stoichiometry = 1.806 eV per formula unit
total energy = -3.831 eV per atom
theoretical density = 6.487 g/cm3
symmetry = P4/mmm (123)
raw formation energy = 0.23 eV per atom

Entry 2:
This record from the Alexandria database describes Sn3RuO after structural relaxation. The functional is PBE.

Cell lengths 4.6751, 4.6751, 4.6751 Å; angles 90.00, 90.00, 90.00 degrees
Last column: nearest neighbours and their distance in Å.
Fractional positions:
Ru: 0.5000 0.5000 0.5000  12 Sn 3.31
Sn: 0.0000 0.5000 0.0000  2 O 2.34
Sn: 0.0000 0.0000 0.5000  2 O 2.34
Sn: 0.5000 0.0000 0.0000  2 O 2.34
O: 0.0000 0.0000 0.0000  6 Sn 2.34

energy above the lowest structure with this stoichiometry = 0.000 eV per formula unit
total energy = -5.092 eV per atom
theoretical density = 7.690 g/cm3
symmetry = Pm-3m (221)
raw formation energy = 0.16 eV per atom

Entry 3:
This record from the Alexandria database describes FeNiAg2 after structural relaxation. The functional is PBE.

Cell lengths 4.3730, 4.3730, 4.3730 Å; angles 60.00, 60.00, 60.00 degrees
Last column: nearest neighbours and their distance in Å.
Fractional positions:
Ni: 0.5000 0.5000 0.5000  8 Ag 2.68
Fe: 0.0000 0.0000 0.0000  8 Ag 2.68
Ag: 0.2500 0.2500 0.2500  4 Ni 2.68, 4 Fe 2.68
Ag: 0.7500 0.7500 0.7500  4 Ni 2.68, 4 Fe 2.68

energy above the lowest structure with this stoichiometry = 0.932 eV per formula unit
total energy = -4.578 eV per atom
theoretical density = 9.274 g/cm3
symmetry = Fm-3m (225)

Entry 4:
This record from the Alexandria database describes Nd4AlIn after structural relaxation. The functional is PBE.

Cell lengths 3.7978, 8.7492, 5.8712 Å; angles 89.94, 90.00, 90.00 degrees
Last column: nearest neighbours and their distance in Å.
Fractional positions:
Nd: 0.5000 0.7192 0.9992  2 Al 3.10
Nd: 0.5000 0.2808 0.0008  2 Al 3.10
Nd: 0.0000 0.2014 0.5009  2 In 3.23, 2 Al 3.42-3.43, 5 Nd 3.52-3.56
Nd: 0.0000 0.7986 0.4991  2 In 3.23, 2 Al 3.42-3.43, 5 Nd 3.52-3.56
Al: 0.0000 0.0000 0.0000  8 Nd 3.10-3.43
In: 0.5000 0.5000 0.5000  8 Nd 3.23-3.51

energy above the lowest structure with this stoichiometry = 0.127 eV per formula unit
total energy = -4.306 eV per atom
theoretical density = 6.118 g/cm3
symmetry = P2/m (10)

Entry 5:
This record from the Alexandria database describes Cr2CdBr after structural relaxation. The functional is PBE.

Cell lengths 3.3922, 4.9511, 4.9511 Å; angles 90.00, 90.00, 90.00 degrees
Last column: nearest neighbours and their distance in Å.
Fractional positions:
Br: 0.5000 0.5000 0.0000  8 Cr 3.00
Cd: 0.5000 0.0000 0.5000  8 Cr 3.00
Cr: 0.0000 0.0000 0.0000  4 Cd 3.00, 4 Br 3.00
Cr: 0.0000 0.5000 0.5000  4 Br 3.00, 4 Cd 3.00

energy above the lowest structure with this stoichiometry = 1.589 eV per formula unit
total energy = -4.815 eV per atom
theoretical density = 5.917 g/cm3
symmetry = P4/mmm (123)
raw formation energy = 0.64 eV per atom

Entry 6:
This record from the Alexandria database describes V2NiPd2 after structural relaxation. The functional is PBE.

Cell lengths 7.3309, 7.3309, 2.7222 Å; angles 90.00, 90.00, 90.00 degrees
Last column: nearest neighbours and their distance in Å.
Fractional positions:
Ni: 0.0000 0.0000 0.0000  2 Ni 2.72, 4 Pd 2.88, 8 V 3.04
Ni: 0.5000 0.5000 0.0000  2 Ni 2.72, 4 Pd 2.88, 8 V 3.04
Pd: 0.3704 0.8704 0.0000  6 V 2.48-2.60, 3 Pd 2.69-2.72
Pd: 0.8704 0.6296 0.0000  6 V 2.48-2.60, 3 Pd 2.69-2.72
Pd: 0.6296 0.1296 0.0000  6 V 2.48-2.60, 3 Pd 2.69-2.72
Pd: 0.1296 0.3704 0.0000  6 V 2.48-2.60, 3 Pd 2.69-2.72
V: 0.1700 0.6700 0.5000  6 Pd 2.48-2.60, 2 V 2.72
V: 0.6700 0.8300 0.5000  6 Pd 2.48-2.60, 2 V 2.72
V: 0.8300 0.3300 0.5000  6 Pd 2.48-2.60, 2 V 2.72
V: 0.3300 0.1700 0.5000  6 Pd 2.48-2.60, 2 V 2.72

energy above the lowest structure with this stoichiometry = 0.961 eV per formula unit
total energy = -6.771 eV per atom
theoretical density = 8.477 g/cm3
symmetry = P4/mbm (127)

> The highest total energy belongs to which entry?

CrAuBr2